Computed, not measured: a geometry-optimized MnTlIn3 structure at the PBE level of DFT.

Summary:
As for the total energy: -15.2 eV for the cell shown. The energy above the most stable polymorph in this dataset comes out at 699 meV/atom. The density of states at the Fermi level comes out at 0.787 states/eV/atom.

a = 5.717 Å, b = 5.717 Å, c = 5.717 Å
α = 90.00°, β = 90.00°, γ = 90.00°
Positions (direct):
Mn  0.000  0.000  0.000
Tl  0.500  0.500  0.500
In  0.000  0.500  0.500
In  0.500  0.000  0.500
In  0.500  0.500  0.000

Computed, not measured: a geometry-optimized SiHg2Pd8 structure at the PBE level of DFT.

Summary:
As for the total energy: -50.4 eV for the cell shown. Its formation energy (no corrections) is -257 meV/atom. The density of states at the Fermi level comes out at 0.417 states/eV/atom.

a = 7.705 Å, b = 7.705 Å, c = 5.851 Å
α = 112.26°, β = 112.26°, γ = 34.82°
Positions (direct):
Si  0.000  0.000  0.000
Hg  0.314  0.314  0.314
Hg  0.686  0.686  0.686
Pd  0.130  0.130  0.388
Pd  0.131  0.131  0.873
Pd  0.319  0.319  0.820
Pd  0.500  0.500  0.244
Pd  0.500  0.500  0.756
Pd  0.681  0.681  0.180
Pd  0.869  0.869  0.127
Pd  0.870  0.870  0.612

Computed, not measured: a geometry-optimized YTh3C3 structure at the PBE level of DFT.

Summary:
As for the total energy: -116.4 eV for the cell shown. The density of states at the Fermi level comes out at 0.716 states/eV/atom.

a = 7.413 Å, b = 7.413 Å, c = 5.376 Å
α = 90.00°, β = 90.00°, γ = 91.00°
Positions (direct):
Y  0.138  0.862  0.750
Y  0.862  0.138  0.250
Th  0.126  0.376  0.750
Th  0.376  0.126  0.250
Th  0.381  0.619  0.250
Th  0.619  0.381  0.750
Th  0.624  0.874  0.750
Th  0.874  0.624  0.250
C  0.119  0.374  0.250
C  0.374  0.119  0.750
C  0.378  0.622  0.750
C  0.622  0.378  0.250
C  0.626  0.881  0.250
C  0.881  0.626  0.750

Computed, not measured: a geometry-optimized Cs2HgH6Ir structure at the PBE level of DFT.

Summary:
As for the total energy: -32.6 eV for the cell shown. The density of states at the Fermi level comes out at 0.379 states/eV/atom.

a = 6.160 Å, b = 6.160 Å, c = 6.020 Å
α = 90.00°, β = 90.00°, γ = 120.00°
Positions (direct):
Cs  0.333  0.667  0.265
Cs  0.667  0.333  0.735
Hg  0.000  0.000  0.000
H  0.138  0.277  0.637
H  0.138  0.862  0.637
H  0.277  0.138  0.363
H  0.723  0.862  0.637
H  0.862  0.138  0.363
H  0.862  0.723  0.363
Ir  0.000  0.000  0.500

Number 1: ρ 5.37 g cm⁻³. Number 2: ρ 11.68 g cm⁻³. Number 3: ρ 9.23 g cm⁻³. Number 4: ρ 5.58 g cm⁻³.